[1]
This record from the Alexandria database describes a relaxed RbBaNa2Pt crystal. The functional is PBE.

Computed properties:
ΔE_f (kJ per mole of atoms): -10.4
Space-group type: P4/mmm (123)

Lattice parameters (Å, degrees): 6.027 6.027 5.975 90.00 90.00 90.00
Atoms (fractional coordinates):
Rb 0.000 0.000 0.000
Ba 0.500 0.500 0.000
Na 0.000 0.500 0.500
Na 0.500 0.000 0.500
Pt 0.500 0.500 0.500


[2]
This record from the Alexandria database describes a relaxed BaNaRePt2 crystal. The functional is PBE.

Computed properties:
ΔE_f (kJ per mole of atoms): 152.9
Space-group type: P4/mmm (123)

Lattice parameters (Å, degrees): 4.888 4.888 5.044 90.00 90.00 90.00
Atoms (fractional coordinates):
Ba 0.000 0.000 0.000
Na 0.000 0.000 0.500
Re 0.500 0.500 0.000
Pt 0.000 0.500 0.500
Pt 0.500 0.000 0.500


- Look up the ΔE_f of the second one.
  152.9 kJ per mole of atoms


- The lowest ΔE_f belongs to which entry?
  RbBaNa2Pt


- What is the ΔE_f in the second record?
  152.9 kJ per mole of atoms